No. 1
Entry from Alexandria via LeMat-Bulk: a geometry-optimized YCu4Pd3O12 structure (PBE).

E_form (uncorrected) = -0.7375 eV per atom
Magnetic moment = 1.7 μB per formula unit

Geometry as POSCAR:
```
YCu4Pd3O12
1.0
-3.1164 -5.6286 -0.6801
5.9863 -0.5467 -2.3918
0.3173 1.5449 6.2744
Y Cu Pd O
1 4 3 12
Cartesian
0.0000 0.0000 0.0000
-1.5582 -2.8143 -0.3401
1.5936 -2.3152 1.6013
2.9932 -0.2734 -1.1959
0.1587 0.7724 3.1372
3.1518 0.4991 1.9413
1.4350 -3.0877 -1.5359
-1.3995 -2.0418 2.7971
4.0439 -1.9373 -1.4111
-0.8567 -2.6931 4.6136
2.9102 -3.5913 0.8548
1.5234 -5.0572 -1.1732
-1.7464 -4.2445 1.0157
2.3805 -0.7902 0.6142
0.3610 -2.5560 0.0710
4.9337 -0.3859 2.1868
0.2771 -1.0391 2.3477
1.6639 0.4268 4.3757
0.8068 -3.8402 2.5883
2.8263 -2.0745 3.1315
```

---

No. 2
Entry from Alexandria via LeMat-Bulk: a geometry-optimized ZnCuPdO4 structure (PBE).

E_form (uncorrected) = -0.7110 eV per atom
Magnetic moment = 0.9 μB per formula unit

Geometry as POSCAR:
```
ZnCuPdO4
1.0
-0.5295 4.0832 -4.0111
-3.8415 -4.8663 -0.3279
-0.8521 4.1395 4.3265
Zn Cu Pd O
2 2 2 8
Cartesian
-3.1508 0.4905 -3.2035
-2.0723 2.8659 3.1910
-2.6115 1.6782 -0.0063
-2.3468 -0.3634 1.9993
-0.6908 4.1114 0.1577
-0.2648 2.0416 -2.0055
-2.6785 3.6539 -0.0456
-4.0670 -2.7378 -0.2952
-4.3184 -0.7998 -2.1990
-2.3027 1.8285 -1.9534
-2.9203 1.5279 1.9409
-1.1560 6.0942 0.2827
-0.9047 4.1562 2.1864
-2.5446 -0.2975 0.0331
```

---

No. 3
Entry from Alexandria via LeMat-Bulk: a geometry-optimized ZrCuPd2O structure (PBE).

E_form (uncorrected) = 0.0109 eV per atom
Magnetic moment = 0.0 μB per formula unit

Geometry as POSCAR:
```
ZrCuPd2O
1.0
4.7751 0.0000 0.0000
0.0000 3.5837 0.0000
0.0000 0.0000 4.7751
O Cu Zr Pd
1 1 1 2
Cartesian
0.0000 1.7919 0.0000
0.0000 0.0000 0.0000
2.3875 1.7919 2.3875
0.0000 0.0000 2.3875
2.3875 0.0000 0.0000
```

---

No. 4
Entry from Alexandria via LeMat-Bulk: a geometry-optimized Pm2CuO4 structure (PBE).

E_form (uncorrected) = -2.6086 eV per atom
Magnetic moment = 0.0 μB per formula unit

Geometry as POSCAR:
```
Pm2CuO4
1.0
-3.4102 3.0143 -3.2492
3.7750 -0.1668 -4.1168
-4.4243 -5.0690 -0.0590
Pm Cu O
4 2 8
Cartesian
1.1231 -1.6360 -2.6965
-1.7724 -3.5998 -1.4794
-1.5900 -2.1760 -5.1624
-2.4695 -0.0454 -2.2627
0.0000 0.0000 0.0000
0.1824 1.4238 -3.6830
0.1377 2.1947 -5.5053
-2.8638 -0.3579 -4.5450
-4.7513 -0.2745 -2.4866
-1.6236 2.1665 -3.3266
1.9885 0.6811 -4.0395
0.6918 -1.9469 -4.9385
-1.1957 -1.8635 -2.8800
0.2272 0.6529 -1.8608
```

---

No. 5
Entry from Alexandria via LeMat-Bulk: a geometry-optimized Pm4Cu2O structure (PBE).

E_form (uncorrected) = -0.8468 eV per atom
Magnetic moment = 0.0 μB per formula unit

Geometry as POSCAR:
```
Pm4Cu2O
1.0
-2.0101 -2.9531 -3.2629
1.8029 -3.8249 2.3510
-5.9582 -3.7377 3.4665
O Cu Pm
1 2 4
Cartesian
0.0000 0.0000 0.0000
-4.6677 -7.0437 2.0765
-1.4977 -3.4720 0.4781
-2.3982 -6.9085 0.5560
-3.7672 -3.6072 1.9986
0.9015 -1.9124 1.1755
-1.0051 -1.4765 -1.6314
```

---

No. 6
Entry from Alexandria via LeMat-Bulk: a geometry-optimized PmCu3O4 structure (PBE).

E_form (uncorrected) = -1.4136 eV per atom
Magnetic moment = 0.0 μB per formula unit

Geometry as POSCAR:
```
PmCu3O4
1.0
-4.2848 -1.2132 3.5767
3.7076 -0.3198 4.3331
-0.7201 5.5723 1.0275
O Cu Pm
8 6 2
Cartesian
-0.3243 1.0098 2.2343
1.5295 0.8499 4.4009
-0.6844 3.7959 2.7480
1.1694 3.6360 4.9146
-2.4667 0.4032 4.0227
-2.8268 3.1893 4.5364
-0.6129 0.2433 6.1892
-0.9730 3.0294 6.7029
1.6738 1.2331 2.4234
1.3137 4.0193 2.9371
-1.4313 2.4828 1.4079
-1.2155 -0.6866 2.8716
0.6383 -0.8465 5.0382
-3.5737 1.8762 3.1963
0.0000 0.0000 0.0000
-0.6487 2.0196 4.4686
```

---

No. 7
Entry from Alexandria via LeMat-Bulk: a geometry-optimized PmCuO2 structure (PBE).

E_form (uncorrected) = -2.2915 eV per atom
Magnetic moment = 0.0 μB per formula unit

Geometry as POSCAR:
```
PmCuO2
1.0
-1.3154 0.4361 3.4474
-3.2699 -1.4910 0.9431
1.1252 -5.1471 3.0827
Pm Cu O
1 1 2
Cartesian
-1.7300 -3.1010 3.7366
0.0000 0.0000 0.0000
0.2793 -3.6184 2.5665
-3.7394 -2.5837 4.9067
```

---

No. 8
Entry from Alexandria via LeMat-Bulk: a geometry-optimized Pm3CuO structure (PBE).

E_form (uncorrected) = -1.0730 eV per atom
Magnetic moment = 0.0 μB per formula unit

Geometry as POSCAR:
```
Pm3CuO
1.0
-4.3837 0.6537 1.9675
-1.6355 -3.9185 -2.3420
1.2741 -2.7807 3.7628
O Cu Pm
1 1 3
Cartesian
0.0000 0.0000 0.0000
-2.3725 -3.0228 1.6941
-0.8177 -1.9593 -1.1710
0.6371 -1.3904 1.8814
-2.1918 0.3269 0.9837
```

---

No. 9
Entry from Alexandria via LeMat-Bulk: a geometry-optimized PmCu2O4 structure (PBE).

E_form (uncorrected) = -1.5427 eV per atom
Magnetic moment = 0.4 μB per formula unit

Geometry as POSCAR:
```
PmCu2O4
1.0
-4.5376 -4.0202 -1.7789
0.2259 -3.1765 -4.6851
0.4073 -6.4053 2.2198
Pm Cu O
2 4 8
Cartesian
-3.0810 -7.8153 -2.5602
0.4016 -6.3961 2.2131
-3.4955 -10.7040 -3.4056
-1.5434 -3.9029 -1.2833
-1.4304 -5.4913 -3.6259
-1.3397 -7.1057 -0.1736
-2.5716 -5.2925 -2.1327
-0.5150 -2.5135 -0.4339
-0.6100 -7.6538 -1.8279
0.1969 -5.9454 -0.1071
-0.2962 -4.2757 -2.6534
-1.8433 -9.7340 -3.2044
-2.8760 -8.2660 -0.2400
-2.5647 -6.7067 -4.5984
```

---

No. 10
Entry from Alexandria via LeMat-Bulk: a geometry-optimized Pm4CuO7 structure (PBE).

E_form (uncorrected) = -2.9239 eV per atom
Magnetic moment = 0.0 μB per formula unit

Geometry as POSCAR:
```
Pm4CuO7
1.0
3.9854 0.0000 0.0000
1.9927 6.4906 -0.0433
1.9927 0.2959 6.6464
Pm Cu O
4 1 7
Cartesian
3.9854 1.6157 4.0358
3.9854 5.1707 2.5673
5.9781 4.5588 5.5929
1.9927 2.2277 1.0102
0.0000 0.0000 0.0000
5.9781 5.6988 3.6483
1.9927 1.0876 2.9548
1.9927 4.6942 0.6689
5.9781 2.0923 5.9342
3.9854 3.9009 4.6119
1.9927 0.0000 0.0000
3.9854 2.8855 1.9912
```

---

No. 11
Entry from Alexandria via LeMat-Bulk: a geometry-optimized Pm12Cu3O5 structure (PBE).

E_form (uncorrected) = -1.3773 eV per atom
Magnetic moment = 0.0 μB per formula unit

Geometry as POSCAR:
```
Pm12Cu3O5
1.0
-13.3446 -0.4573 -2.2952
4.5935 -12.5095 2.4432
2.4689 7.8936 10.7309
Cu O Pm
12 20 48
Cartesian
-7.9773 -4.0473 0.5362
-7.9228 -8.7955 1.1655
-0.0161 -4.6201 7.6785
-1.8361 1.2821 3.7557
-10.4851 0.0096 0.9799
-1.5161 -6.0165 3.3491
-4.7662 0.9433 7.5299
4.2029 -5.0828 9.8991
-4.4461 -6.3553 7.1233
-6.2662 -0.4531 3.2004
1.6406 3.7223 9.7135
1.6950 -1.0259 10.3428
0.6717 -2.7748 3.3120
2.2967 -6.2547 1.2216
0.0000 0.0000 0.0000
-3.5473 -2.3122 1.0915
-5.4379 3.7181 4.2179
-4.3756 -6.4834 0.0740
2.7029 -6.4792 5.5696
-7.2740 5.0002 7.9736
-6.2117 -5.2013 3.8297
-2.5784 4.1850 7.4929
-3.7039 -9.2582 3.3861
-3.1411 -2.5366 5.4395
-6.6723 -0.2286 -1.1476
1.2344 3.9468 5.3655
-0.0705 0.1281 7.0492
0.9917 -10.0734 2.9054
3.5312 -2.3080 6.5871
-8.9851 1.4060 5.3094
-2.7350 -2.7610 9.7875
-6.9540 -2.2984 7.5669
-8.8310 -1.5926 -1.1332
-0.8141 -3.4377 4.8977
-10.5843 -2.9483 1.8644
-5.7086 -1.8976 0.5276
-2.9560 -3.6733 7.7186
-9.9005 -6.4228 1.1893
0.4646 -6.8657 5.6127
3.1963 -10.5199 3.2243
-1.7360 -7.1322 8.3853
-6.2294 -6.2501 1.8145
-7.4540 -3.3290 3.4945
-6.6656 -11.5487 0.5483
3.0008 -4.7659 7.0316
-3.0686 -4.5330 1.0782
3.9019 -8.3195 6.1497
-3.4711 3.0835 5.7178
0.1444 -0.7452 2.4381
-3.0353 -8.0463 1.5845
-5.9663 -9.4135 3.5231
0.5962 -4.4254 1.7528
1.3140 -6.1663 10.0467
-4.1039 -4.7183 4.5263
-7.0595 -6.5079 5.4836
-6.9259 2.8759 8.6999
-2.1783 -0.3549 6.3527
0.7772 1.4347 5.3953
0.6436 -7.9491 2.1791
-0.3160 4.3403 7.3559
-7.5963 1.0931 0.8323
-6.8784 -0.6478 9.1262
-3.2470 2.9731 9.2944
-2.8111 -8.1567 5.1612
-6.4266 -4.3280 8.4408
-10.1842 3.2463 4.7292
-9.2831 -0.3073 3.8474
0.3834 6.4755 10.3307
-3.2136 -0.5402 9.8008
-4.5463 2.0590 2.4936
-0.0528 1.1769 9.0644
1.1718 -1.7442 7.3845
-9.4786 5.4467 7.6546
-6.7468 1.7925 5.2663
-0.5736 -3.1756 10.3513
3.6182 1.3496 9.6897
-3.3262 -1.4000 3.1604
4.3020 -2.1249 9.0146
-5.4682 -1.6355 5.9813
2.5488 -3.4806 12.0122
```

---

No. 12
Entry from Alexandria via LeMat-Bulk: a geometry-optimized Pm2CuO4 structure (PBE).

E_form (uncorrected) = -2.6040 eV per atom
Magnetic moment = 0.1 μB per formula unit

Geometry as POSCAR:
```
Pm2CuO4
1.0
-3.8618 -0.8355 0.0822
0.4194 -2.2551 -3.2182
2.8436 -3.2949 5.1059
Pm Cu O
2 1 4
Cartesian
-1.3841 -2.9991 -0.5054
0.7853 -3.3864 2.4753
0.0000 0.0000 0.0000
-1.3697 -2.8378 1.8100
0.7709 -3.5476 0.1599
-1.9309 -0.4177 0.0411
0.2097 -1.1275 -1.6091
```

---

No. 13
Entry from Alexandria via LeMat-Bulk: a geometry-optimized Pm3Cu5O12 structure (PBE).

E_form (uncorrected) = -1.4983 eV per atom
Magnetic moment = 1.5 μB per formula unit

Geometry as POSCAR:
```
Pm3Cu5O12
1.0
10.8487 0.0000 0.0000
-3.6162 10.2283 0.0000
-3.6162 -5.1141 8.8579
Pm Cu O
12 20 48
Cartesian
6.3284 3.1963 1.1072
6.3284 7.0319 1.1072
-0.9041 4.4749 5.5362
0.9041 -0.6393 3.3217
8.1365 0.0000 2.2145
0.9041 5.1141 2.2145
2.7122 0.0000 6.6434
-4.5203 5.1141 6.6434
2.7122 5.7534 5.5362
4.5203 0.6393 3.3217
-2.7122 -1.9178 7.7507
-2.7122 1.9178 7.7507
-0.9041 2.5571 2.2145
-1.8081 5.1141 0.0000
0.0000 0.0000 0.0000
2.7122 1.9178 1.1072
3.6162 -2.5571 4.4290
3.6162 5.1141 0.0000
-2.7122 5.7534 3.3217
4.5203 -3.1963 7.7507
4.5203 4.4749 3.3217
0.9041 -2.5571 6.6434
2.7122 7.6712 2.2145
1.8081 2.5571 4.4290
5.4244 0.0000 0.0000
-1.8081 -2.5571 4.4290
-0.9041 0.6393 5.5362
-0.9041 8.3105 1.1072
-3.6162 2.5571 4.4290
6.3284 -0.6393 5.5362
0.9041 3.1963 7.7507
4.5203 2.5571 6.6434
7.0533 1.1016 0.2287
0.1792 3.3059 3.5893
8.1081 2.3409 2.6666
4.5488 1.4182 1.0684
1.3125 3.7066 5.9627
7.7916 5.1982 1.5337
-0.8756 6.0368 3.7350
-2.7406 8.8100 1.0684
0.4956 6.5216 5.9627
4.8653 5.0300 1.5337
5.6035 2.9098 3.3606
5.6035 9.1266 0.2287
-3.1206 4.4601 4.6576
2.3672 3.7438 0.6940
-3.7954 7.3184 3.3606
1.9873 -1.8082 5.2687
-0.4956 0.7535 1.7624
2.3672 6.4003 0.8397
4.5488 7.8873 2.6666
-0.5591 3.8279 0.8397
-2.3038 5.8676 7.0955
2.6837 4.1914 3.7350
4.9287 5.7682 4.6576
4.1753 -1.3703 8.1639
0.9325 0.9227 5.1230
-1.3125 -0.6541 4.2003
-0.5591 6.4844 0.6940
-0.9325 -2.7732 6.1914
5.9200 -0.7535 1.7624
4.1753 1.2862 8.0182
1.2490 -1.2862 8.0182
1.6290 6.9223 3.5893
4.1119 4.3607 7.0955
7.4116 -2.2043 5.4974
6.7368 0.6541 4.2003
-1.9873 -4.0125 8.6292
1.2490 1.3703 8.1639
3.1206 -1.4075 2.8952
-1.2490 0.0841 7.3242
-1.9873 2.2043 5.4974
6.3569 -3.6959 7.7895
4.4918 -0.9227 5.1230
-0.9325 3.6959 7.7895
-4.1753 -0.0841 7.3242
2.3038 1.4075 2.8952
-4.4918 2.7732 6.1914
3.4371 1.8082 5.2687
-3.4371 4.0125 8.6292
```

---

No. 14
Entry from Alexandria via LeMat-Bulk: a geometry-optimized Pm2CuO structure (PBE).

E_form (uncorrected) = -1.3130 eV per atom
Magnetic moment = 0.0 μB per formula unit

Geometry as POSCAR:
```
Pm2CuO
1.0
-2.2946 -1.8109 2.3608
1.3079 -2.8414 2.0817
1.2557 2.6902 6.2741
O Cu Pm
1 1 2
Cartesian
0.1345 -0.9811 5.3583
0.0000 0.0000 0.0000
0.1317 -1.6590 7.8256
0.1373 -0.3031 2.8910
```

---

No. 15
Entry from Alexandria via LeMat-Bulk: a geometry-optimized Pm3Cu2O6 structure (PBE).

E_form (uncorrected) = -2.3261 eV per atom
Magnetic moment = 0.0 μB per formula unit

Geometry as POSCAR:
```
Pm3Cu2O6
1.0
3.8858 0.0000 0.0000
0.0000 3.8858 0.0000
-1.9429 -1.9429 9.4748
Pm Cu O
3 2 6
Cartesian
0.0000 0.0000 0.0000
1.9429 1.9429 6.1422
0.0000 0.0000 3.3326
0.0000 0.0000 7.9222
1.9429 1.9429 1.5526
0.0000 1.9429 1.5931
1.9429 0.0000 1.5931
1.9429 0.0000 7.8817
0.0000 1.9429 7.8817
1.9429 1.9429 3.9216
0.0000 0.0000 5.5533
```

---

No. 16
Entry from Alexandria via LeMat-Bulk: a geometry-optimized Pm4Cu2O structure (PBE).

E_form (uncorrected) = -0.8283 eV per atom
Magnetic moment = 0.0 μB per formula unit

Geometry as POSCAR:
```
Pm4Cu2O
1.0
6.7621 0.0000 0.1645
0.0000 7.1438 0.0000
-2.2995 0.0000 7.3308
Pm Cu O
8 4 2
Cartesian
2.7357 3.6242 1.8950
-1.5876 5.3579 6.5704
6.0502 1.7860 0.9249
2.7357 7.0915 1.8950
5.0088 1.7860 4.7043
1.7269 0.0523 5.6003
1.7269 3.5196 5.6003
-0.5462 5.3579 2.7910
4.7214 5.3579 0.4588
-0.2589 1.7860 7.0365
0.9052 1.7860 3.2805
3.5574 5.3579 4.2148
1.2611 5.3579 1.4292
3.2015 1.7860 6.0661
```